Entry 1:
Here is LaMg2Mo3S8 after structural relaxation from Alexandria via LeMat-Bulk. Energies are from GGA-PBE.

```
LaMg2Mo3S8
1.0
3.793 2.190 6.236
-3.793 2.190 6.236
0.000 -4.379 6.236
La Mg Mo S
1 2 3 8
direct
0.000 0.000 0.000
0.377 0.377 0.377
0.623 0.623 0.623
0.000 0.000 0.500
0.000 0.500 0.000
0.500 0.000 0.000
0.227 0.740 0.740
0.239 0.239 0.239
0.260 0.260 0.773
0.260 0.773 0.260
0.740 0.227 0.740
0.740 0.740 0.227
0.761 0.761 0.761
0.773 0.260 0.260
```

Calculated values
formation energy from raw total energies	-0.886	eV per atom
M_tot	8.6	μB per cell

---

Entry 2:
Here is LaMg2SbMo after structural relaxation from Alexandria via LeMat-Bulk. Energies are from GGA-PBE.

```
LaMg2SbMo
1.0
5.752 0.000 0.000
0.000 5.752 0.000
0.000 0.000 4.808
La Mg Sb Mo
1 2 1 1
direct
0.000 0.000 0.000
0.000 0.500 0.000
0.500 0.000 0.000
0.500 0.500 0.500
0.000 0.000 0.500
```

Calculated values
formation energy from raw total energies	1.384	eV per atom
M_tot	1.0	μB per cell

---

Entry 3:
Here is LaMgSi2Mo after structural relaxation from Alexandria via LeMat-Bulk. Energies are from GGA-PBE.

```
LaMgSi2Mo
1.0
4.736 0.000 0.000
0.000 4.736 0.000
0.000 0.000 4.965
La Mg Si Mo
1 1 2 1
direct
0.000 0.000 0.000
0.500 0.500 0.000
0.000 0.500 0.500
0.500 0.000 0.500
0.500 0.500 0.500
```

Calculated values
formation energy from raw total energies	-0.117	eV per atom
M_tot	0.0	μB per cell

---

Entry 4:
Here is La2MgTaMo after structural relaxation from Alexandria via LeMat-Bulk. Energies are from GGA-PBE.

```
La2MgTaMo
1.0
5.609 0.000 0.000
0.000 5.609 0.000
0.000 0.000 4.958
La Mg Ta Mo
2 1 1 1
direct
0.000 0.500 0.000
0.500 0.000 0.000
0.000 0.000 0.000
0.000 0.000 0.500
0.500 0.500 0.500
```

Calculated values
ΔH_f (0 K)	1.722	eV/atom
M_tot	2.8	μB per cell